DFT (GGA-PBE) results for a geometry-optimized MoP2Au structure.

CIF file:
```
data_MoP2Au
_space_group_name_H-M_alt 'A m m 2'
_space_group_IT_number 38
_space_group_name_Hall 'A 2 -2'
_cell_length_a 3.550
_cell_length_b 3.165
_cell_length_c 12.201
_cell_angle_alpha 90.00
_cell_angle_beta 90.00
_cell_angle_gamma 90.00
loop_
_atom_site_label
_atom_site_type_symbol
_atom_site_fract_x
_atom_site_fract_y
_atom_site_fract_z
_atom_site_occupancy
Mo1 Mo 0.000 0.000 0.000 1
P1 P 0.000 0.000 0.651 1
P2 P 0.500 0.000 0.419 1
Au1 Au 0.500 0.000 0.215 1
```

Calculated values
The calculation puts the energy of formation from the pure elements at -30.5 meV/atom. For the energy above the lowest structure with this stoichiometry, the calculation gives 0.002 eV/atom. The calculation puts the density of states at the Fermi level at 4.112 states/eV/cell.

=====

DFT (GGA-PBE) results for a geometry-optimized AlGa4Re structure.

CIF file:
```
data_AlGa4Re
_space_group_name_H-M_alt 'P 2 2 2'
_space_group_IT_number 16
_space_group_name_Hall 'P 2 2'
_cell_length_a 5.381
_cell_length_b 5.762
_cell_length_c 7.003
_cell_angle_alpha 90.00
_cell_angle_beta 90.00
_cell_angle_gamma 90.00
loop_
_atom_site_label
_atom_site_type_symbol
_atom_site_fract_x
_atom_site_fract_y
_atom_site_fract_z
_atom_site_occupancy
Al1 Al 0.000 0.000 0.000 1
Al2 Al 0.500 0.000 0.500 1
Ga1 Ga 0.241 0.270 0.243 1
Ga2 Ga 0.243 0.271 0.758 1
Re1 Re 0.500 0.000 0.000 1
Re2 Re 0.500 0.500 0.500 1
```

Calculated values
The calculation puts the energy of formation from the pure elements at 73.4 meV/atom. The calculation puts the density of states at the Fermi level at 5.200 states/eV/cell.

=====

DFT (GGA-PBE) results for a geometry-optimized NaPmCdAu structure.

CIF file:
```
data_NaPmCdAu
_space_group_name_H-M_alt 'F -4 3 m'
_space_group_IT_number 216
_space_group_name_Hall 'F -4 2 3'
_cell_length_a 7.316
_cell_length_b 7.316
_cell_length_c 7.316
_cell_angle_alpha 90.00
_cell_angle_beta 90.00
_cell_angle_gamma 90.00
loop_
_atom_site_label
_atom_site_type_symbol
_atom_site_fract_x
_atom_site_fract_y
_atom_site_fract_z
_atom_site_occupancy
Na1 Na 0.000 0.000 0.000 1
Pm1 Pm 0.000 0.000 0.500 1
Cd1 Cd 0.250 0.250 0.750 1
Au1 Au 0.250 0.250 0.250 1
```

Calculated values
The calculation puts the energy of formation from the pure elements at -361.2 meV/atom. The calculation puts the density of states at the Fermi level at 10.802 states/eV/cell.

=====

DFT (GGA-PBE) results for a geometry-optimized Cs2HfFeNi structure.

CIF file:
```
data_Cs2HfFeNi
_space_group_name_H-M_alt 'P 4/m m m'
_space_group_IT_number 123
_space_group_name_Hall '-P 4 2'
_cell_length_a 6.665
_cell_length_b 6.665
_cell_length_c 4.176
_cell_angle_alpha 90.00
_cell_angle_beta 90.00
_cell_angle_gamma 90.00
loop_
_atom_site_label
_atom_site_type_symbol
_atom_site_fract_x
_atom_site_fract_y
_atom_site_fract_z
_atom_site_occupancy
Cs1 Cs 0.000 0.500 0.000 1
Hf1 Hf 0.000 0.000 0.500 1
Fe1 Fe 0.500 0.500 0.500 1
Ni1 Ni 0.500 0.500 0.000 1
```

Calculated values
The calculation puts the energy of formation from the pure elements at 1874.6 meV/atom. The calculation puts the density of states at the Fermi level at 15.313 states/eV/cell.

=====

DFT (GGA-PBE) results for a geometry-optimized LuPaZnSn structure.

CIF file:
```
data_LuPaZnSn
_space_group_name_H-M_alt 'F -4 3 m'
_space_group_IT_number 216
_space_group_name_Hall 'F -4 2 3'
_cell_length_a 7.278
_cell_length_b 7.278
_cell_length_c 7.278
_cell_angle_alpha 90.00
_cell_angle_beta 90.00
_cell_angle_gamma 90.00
loop_
_atom_site_label
_atom_site_type_symbol
_atom_site_fract_x
_atom_site_fract_y
_atom_site_fract_z
_atom_site_occupancy
Lu1 Lu 0.000 0.000 0.000 1
Pa1 Pa 0.000 0.000 0.500 1
Zn1 Zn 0.250 0.250 0.750 1
Sn1 Sn 0.250 0.250 0.250 1
```

Calculated values
The calculation puts the energy of formation from the pure elements at -142.2 meV/atom. The calculation puts the density of states at the Fermi level at 29.972 states/eV/cell.

=====

> Number 2 is which compound?

AlGa4Re

=====

> Among the records above, which one has the highest energy of formation from the pure elements?

Cs2HfFeNi

=====

> What is the energy of formation from the pure elements in the third record?

-361.2 meV/atom